VASP calculation (PBE with a Hubbard U) on an optimized crystal structure of Li2MoP4O13.

Structure (POSCAR):
```
Li2MoP4O13
1.0
5.3724 -0.0084 0.1811
-1.4194 8.1185 -0.1101
-0.6477 -1.3673 13.5662
O P Mo Li
26 8 2 4
direct
0.0343 0.6410 0.4491
0.2280 0.2257 0.2655
0.6383 0.0239 0.8337
0.1471 0.1408 0.6332
0.3630 0.8402 0.6643
0.3617 0.9761 0.1663
0.6501 0.3795 0.2221
0.9931 0.3777 0.7381
0.5144 0.5723 0.6027
0.4213 0.3287 0.8007
0.5787 0.6713 0.1993
0.9657 0.3590 0.5509
0.9026 0.9906 0.1820
0.3176 0.8471 0.3557
0.8529 0.8592 0.3668
0.8672 0.5199 0.0873
0.8287 0.8131 0.9222
0.6370 0.1598 0.3357
0.3499 0.6205 0.7779
0.4856 0.4277 0.3973
0.7720 0.7743 0.7345
0.1328 0.4801 0.9127
0.0974 0.0094 0.8180
0.0069 0.6223 0.2619
0.6824 0.1529 0.6443
0.1713 0.1869 0.0778
0.7701 0.5559 0.1882
0.2299 0.4441 0.8118
0.1636 0.0924 0.1650
0.8364 0.9076 0.8350
0.0531 0.7458 0.3653
0.9469 0.2542 0.6347
0.5027 0.2996 0.3131
0.4973 0.7004 0.6869
0.3928 0.0820 0.7332
0.6072 0.9180 0.2668
0.7513 0.5047 0.5055
0.0463 0.3522 0.0226
0.2487 0.4953 0.4945
0.9537 0.6478 0.9774
```

Calculated values
- Total energy: -0.258 hartree per atom
- Space group: P-1, No. 2